SmURh4, optimized geometry, DFT GGA-PBE; Fermi-level density of states = 1.366 states/eV/atom; formation energy from the elements = -523 meV per atom; space-group type = F-43m, No. 216; total energy = -8.0916 eV per atom
1.0
5.3418 0.0000 0.0000
2.6709 4.6261 0.0000
2.6709 1.5420 4.3615
Rh Sm U
4 1 1
direct
0.6248 0.1256 0.6248
0.6248 0.6248 0.6248
0.1256 0.6248 0.6248
0.6248 0.6248 0.1256
0.0000 0.0000 0.0000
0.2500 0.2500 0.2500

=====

ReNiBP, optimized geometry, DFT GGA-PBE; offset from the most stable computed form = 1.18 kcal/mol of atoms; Fermi-level density of states = 0.099 states/eV/atom; formation energy from the elements = -122 meV per atom; space-group type = Cm, No. 8; total energy = -7.7008 eV per atom
1.0
4.4605 0.0000 0.0042
0.0000 3.0791 0.0000
-4.1660 0.0000 6.6985
B Ni P Re
2 2 2 2
direct
0.3844 0.5000 0.2749
0.3844 0.0000 0.7749
0.8582 0.5000 0.9904
0.8582 0.0000 0.4904
0.9054 0.5000 0.2809
0.9054 0.0000 0.7809
0.4436 0.0000 0.0863
0.4436 0.5000 0.5863

=====

Zr2Sc2Co3, optimized geometry, DFT GGA-PBE; Fermi-level density of states = 0.760 states/eV/atom; formation energy from the elements = -228 meV per atom; space-group type = I2_13, No. 199; total energy = -7.5247 eV per atom
1.0
-0.5973 -2.5367 -6.3007
3.1666 -4.5363 3.9857
-6.1991 1.3048 2.5219
Sc Co Zr
4 6 4
direct
0.0000 0.0000 0.8722
0.1278 0.6278 0.6278
0.3722 0.5000 0.0000
0.5000 0.8722 0.5000
0.4404 0.1904 0.7500
0.8096 0.2500 0.5596
0.2500 0.9404 0.1904
0.0596 0.3096 0.2500
0.6904 0.7500 0.9404
0.7500 0.5596 0.3096
0.5878 0.0878 0.0878
0.9122 0.5000 0.0000
0.0000 0.0000 0.4122
0.5000 0.4122 0.5000

=====

YSbPb2O6, optimized geometry, DFT GGA-PBE; offset from the most stable computed form = 0.00 kcal/mol of atoms; Fermi-level density of states = 0.000 states/eV/atom; formation energy (no corrections) = -1.876 eV per atom; space-group type = C2/c, No. 15; total energy = -6.6511 eV per atom
1.0
5.9589 -0.0017 -0.0072
3.0079 5.1441 -0.0072
2.8745 1.6485 9.7393
O Y Pb Sb
12 2 4 2
direct
0.3574 0.3310 0.8826
0.1160 0.1849 0.1503
0.3045 0.8940 0.4162
0.1849 0.1160 0.6503
0.6690 0.6426 0.6174
0.1060 0.6955 0.0838
0.8151 0.8840 0.3497
0.3310 0.3574 0.3826
0.6426 0.6690 0.1174
0.6955 0.1060 0.5838
0.8940 0.3045 0.9162
0.8840 0.8151 0.8497
0.2520 0.7480 0.2500
0.7480 0.2520 0.7500
0.0813 0.6527 0.6272
0.3473 0.9187 0.8728
0.9187 0.3473 0.3728
0.6527 0.0813 0.1272
0.0000 0.5000 0.0000
0.5000 0.0000 0.5000

=====

KRh2Pb, optimized geometry, DFT GGA-PBE; Fermi-level density of states = 1.429 states/eV/atom; formation energy from the elements = 622 meV per atom; space-group type = F-43m, No. 216; total energy = -4.2554 eV per atom
1.0
-3.3094 -2.0052 2.9550
-2.2259 -4.1344 -1.2874
1.0206 -4.1452 2.3410
Pb Rh K
1 2 1
direct
0.7500 0.7500 0.7500
0.0000 0.0000 0.0000
0.2500 0.2500 0.2500
0.5000 0.5000 0.5000

=====

Ca2As2Pb, optimized geometry, DFT GGA-PBE; offset from the most stable computed form = 4.31 kcal/mol of atoms; Fermi-level density of states = 0.391 states/eV/atom; formation energy from the elements = -583 meV per atom; space-group type = P4/mbm, No. 127; total energy = -3.9848 eV per atom
1.0
8.4679 0.0000 0.0000
0.0000 8.4679 0.0000
0.0000 0.0000 3.6006
Ca As Pb
4 4 2
direct
0.3663 0.8663 0.0000
0.8663 0.6337 0.0000
0.6337 0.1337 0.0000
0.1337 0.3663 0.0000
0.1707 0.6707 0.5000
0.3293 0.1707 0.5000
0.8293 0.3293 0.5000
0.6707 0.8293 0.5000
0.0000 0.0000 0.0000
0.5000 0.5000 0.0000

=====

Ta2InRh, optimized geometry, DFT GGA-PBE; Fermi-level density of states = 0.762 states/eV/atom; formation energy from the elements = -39 meV per atom; space-group type = Pm, No. 6; total energy = -8.4877 eV per atom
1.0
-0.4488 -3.7179 -2.7720
1.6665 -1.5411 1.7971
-3.9751 -1.7500 2.9907
Rh Ta In
1 2 1
direct
0.5000 0.6372 0.7819
0.0000 0.0316 0.9721
0.5000 0.2094 0.2645
0.0000 0.6219 0.4815

=====

Cs3DyTa2O8, optimized geometry, DFT GGA-PBE; Fermi-level density of states = 0.000 states/eV/atom; formation energy (no corrections) = -2.686 eV per atom; space-group type = P-3m1, No. 164; total energy = -7.7237 eV per atom
1.0
6.3645 0.0000 0.0000
-3.1822 5.5118 0.0000
0.0000 0.0000 8.5323
Cs O Ta Dy
3 8 2 1
direct
0.0000 0.0000 0.0000
0.3333 0.6667 0.7274
0.6667 0.3333 0.2726
0.3409 0.1705 0.6543
0.6667 0.3333 0.9373
0.6591 0.8295 0.3457
0.3333 0.6667 0.0627
0.8295 0.6591 0.6543
0.1705 0.8295 0.3457
0.8295 0.1705 0.6543
0.1705 0.3409 0.3457
0.3333 0.6667 0.2765
0.6667 0.3333 0.7235
0.0000 0.0000 0.5000

=====

CsPtPb, optimized geometry, DFT GGA-PBE; offset from the most stable computed form = 3.05 kcal/mol of atoms; Fermi-level density of states = 1.056 states/eV/atom; formation energy from the elements = -106 meV per atom; space-group type = P-6m2, No. 187; total energy = -3.6400 eV per atom
1.0
-2.2358 5.4146 -1.2282
-1.5928 0.3431 4.4121
4.3140 1.5388 -1.0691
Pt Pb Cs
1 1 1
direct
0.1664 0.0000 0.0000
0.1668 0.3333 0.6667
0.6669 0.6667 0.3333

=====

Li3Ca2Ga5, optimized geometry, DFT GGA-PBE; Fermi-level density of states = 0.437 states/eV/atom; formation energy from the elements = -308 meV per atom; space-group type = Ibam, No. 72; total energy = -2.7962 eV per atom
1.0
-1.9260 -4.7701 3.2881
-3.2016 -6.1850 -5.1799
6.2326 -6.0110 0.5985
Ga Li Ca
10 6 4
direct
0.6331 0.7357 0.9980
0.0086 0.7414 0.7414
0.9914 0.2586 0.2586
0.8669 0.0020 0.2643
0.4914 0.2586 0.2586
0.5086 0.7414 0.7414
0.7500 0.5000 0.5000
0.1331 0.9980 0.7357
0.2500 0.5000 0.5000
0.3669 0.2643 0.0020
0.8836 0.7574 0.4754
0.3836 0.4754 0.7574
0.2500 0.0000 0.0000
0.1164 0.2426 0.5246
0.6164 0.5246 0.2426
0.7500 0.0000 0.0000
0.6261 0.1185 0.6293
0.1261 0.6293 0.1185
0.8739 0.3707 0.8815
0.3739 0.8815 0.3707

=====

CeTiRh2, optimized geometry, DFT GGA-PBE; offset from the most stable computed form = 8.38 kcal/mol of atoms; Fermi-level density of states = 1.980 states/eV/atom; formation energy from the elements = -356 meV per atom; space-group type = R-3m, No. 166; total energy = -7.4888 eV per atom
1.0
2.9674 0.0000 0.0000
1.4837 2.5698 0.0000
1.4837 0.8566 9.0803
Rh Ce Ti
2 1 1
direct
0.2620 0.2620 0.2140
0.7380 0.7380 0.7860
0.5000 0.5000 0.5000
0.0000 0.0000 0.0000

=====

K2Hg2Sb, optimized geometry, DFT GGA-PBE; offset from the most stable computed form = 0.39 kcal/mol of atoms; Fermi-level density of states = 0.316 states/eV/atom; formation energy (no corrections) = -0.316 eV per atom; space-group type = C2/m, No. 12; total energy = -1.7004 eV per atom
1.0
-1.6318 2.9895 3.7895
-3.1909 -6.0529 -0.0242
10.0762 -1.0256 5.1480
K Sb Hg
4 2 4
direct
0.6739 0.3477 0.0455
0.3261 0.6523 0.9545
0.6075 0.2149 0.3898
0.3925 0.7851 0.6102
0.7191 0.4382 0.7284
0.2809 0.5618 0.2716
0.0070 0.0140 0.1464
0.8988 0.7977 0.3800
0.1012 0.2023 0.6200
0.9930 0.9860 0.8536

=====

LiGd2Rh, optimized geometry, DFT GGA-PBE; Fermi-level density of states = 0.850 states/eV/atom; formation energy from the elements = -432 meV per atom; space-group type = Fm-3m, No. 225; total energy = -9.7885 eV per atom
1.0
-4.5517 -1.2692 -1.5814
-0.9036 -0.4627 -4.8784
-0.7854 -4.5083 -1.9717
Gd Rh Li
2 1 1
direct
0.5000 0.5000 0.5000
0.0000 0.0000 0.0000
0.7500 0.7500 0.7500
0.2500 0.2500 0.2500

=====

TiBeTeI2, optimized geometry, DFT GGA-PBE; offset from the most stable computed form = 0.00 kcal/mol of atoms; Fermi-level density of states = 0.790 states/eV/atom; formation energy (no corrections) = 0.353 eV per atom; space-group type = P4/mmm, No. 123; total energy = -3.2194 eV per atom
1.0
-5.5729 0.3701 0.0308
-0.3691 -5.5709 0.1547
0.0391 0.1453 5.3273
I Be Ti Te
2 1 1 1
direct
0.0000 0.5000 0.0000
0.5000 0.0000 0.0000
0.5000 0.5000 0.5000
0.0000 0.0000 0.0000
0.0000 0.0000 0.5000

=====

Pm2DyNpSb4, optimized geometry, DFT GGA-PBE; Fermi-level density of states = 1.475 states/eV/atom; formation energy (no corrections) = -0.917 eV per atom; space-group type = P2/m, No. 10; total energy = -6.3587 eV per atom
1.0
-0.3228 -3.6561 -2.4968
7.2186 1.0327 -2.4454
0.0624 -4.3445 6.3536
Pm Dy Np Sb
2 1 1 4
direct
0.0000 0.5000 0.5000
0.5000 0.0000 0.5000
0.5000 0.5000 0.0000
0.0000 0.0000 0.0000
0.5000 0.7519 0.7568
0.0000 0.2520 0.7576
0.5000 0.2481 0.2432
0.0000 0.7480 0.2424

=====

K2NaAsPt, optimized geometry, DFT GGA-PBE; Fermi-level density of states = 0.691 states/eV/atom; formation energy from the elements = -199 meV per atom; space-group type = P4/mmm, No. 123; total energy = -3.0400 eV per atom
1.0
6.4514 0.0000 0.0000
0.0000 6.4514 0.0000
0.0000 0.0000 4.6257
K Na As Pt
2 1 1 1
direct
0.0000 0.5000 0.0000
0.5000 0.0000 0.0000
0.5000 0.5000 0.5000
0.0000 0.0000 0.5000
0.0000 0.0000 0.0000

=====

Ti2VSi2Tc5, optimized geometry, DFT GGA-PBE; Fermi-level density of states = 0.931 states/eV/atom; formation energy (no corrections) = -0.388 eV per atom; space-group type = P4/mbm, No. 127; total energy = -9.1460 eV per atom
1.0
3.2483 0.0000 0.0000
0.0000 9.5273 0.0000
0.0000 0.0000 9.5273
Ti Tc Si V
4 10 4 2
direct
0.0000 0.1694 0.3306
0.0000 0.3306 0.8306
0.0000 0.8306 0.6694
0.0000 0.6694 0.1694
0.5000 0.0670 0.8028
0.5000 0.4330 0.3028
0.5000 0.1972 0.0670
0.5000 0.3028 0.5670
0.5000 0.0000 0.5000
0.5000 0.9330 0.1972
0.5000 0.6972 0.4330
0.5000 0.5670 0.6972
0.5000 0.8028 0.9330
0.5000 0.5000 0.0000
0.0000 0.3688 0.1312
0.0000 0.8688 0.3688
0.0000 0.1312 0.6312
0.0000 0.6312 0.8688
0.0000 0.0000 0.0000
0.0000 0.5000 0.5000

=====

NdSc3Al4, optimized geometry, DFT GGA-PBE; Fermi-level density of states = 0.515 states/eV/atom; formation energy from the elements = -402 meV per atom; space-group type = Pmma, No. 51; total energy = -5.2437 eV per atom
1.0
-4.0155 -3.1075 -1.0441
4.1497 -4.6867 -2.0105
0.3920 -3.5902 9.1782
Al Sc Nd
8 6 2
direct
0.5000 0.2243 0.5000
0.8665 0.2245 0.2500
0.1335 0.7755 0.7500
0.5000 0.7757 0.0000
0.8665 0.7755 0.2500
0.5000 0.2243 0.0000
0.5000 0.7757 0.5000
0.1335 0.2245 0.7500
0.0000 0.0000 0.0000
0.4107 0.5000 0.2500
0.6276 0.0000 0.7500
0.5893 0.5000 0.7500
0.3724 0.0000 0.2500
0.0000 0.0000 0.5000
0.0000 0.5000 0.0000
0.0000 0.5000 0.5000

=====

LaTb4Dy2Tm, optimized geometry, DFT GGA-PBE; Fermi-level density of states = 1.251 states/eV/atom; formation energy from the elements = 18 meV per atom; space-group type = Pmmm, No. 47; total energy = -4.6227 eV per atom
1.0
10.0934 0.4487 0.3483
-0.2932 9.3843 -3.6475
-4.9766 -7.7842 8.1798
Tb Dy La Tm
8 4 2 2
direct
0.7504 0.2451 0.4979
0.7510 0.2563 0.0035
0.2496 0.2492 0.5022
0.2491 0.2489 0.9963
0.2496 0.7551 0.5021
0.7504 0.7505 0.4978
0.2491 0.7440 0.9966
0.7509 0.7507 0.0036
0.5000 0.9999 0.9999
0.0000 0.0002 0.5001
0.5000 0.5001 0.0000
0.4999 0.9997 0.4998
0.5001 0.5004 0.5003
0.0001 0.0002 0.0002
0.9999 0.4998 0.4999
0.0000 0.4999 0.9999

=====

CrGa2Pt, optimized geometry, DFT GGA-PBE; Fermi-level density of states = 0.370 states/eV/atom; formation energy from the elements = -302 meV per atom; space-group type = P4/mmm, No. 123; total energy = -5.7318 eV per atom
1.0
3.6099 0.0000 0.0000
0.0000 4.0376 0.0000
0.0000 0.0000 4.0376
Cr Ga Pt
1 2 1
direct
0.5000 0.0000 0.0000
0.0000 0.0000 0.5000
0.0000 0.5000 0.0000
0.5000 0.5000 0.5000

=====

Th4TcAuS2, optimized geometry, DFT GGA-PBE; Fermi-level density of states = 0.913 states/eV/atom; formation energy (no corrections) = -0.991 eV per atom; space-group type = P2/m, No. 10; total energy = -7.4384 eV per atom
1.0
4.1230 0.0000 0.0000
0.0000 7.4470 -0.2901
0.0000 2.4938 6.7188
S Th Tc Au
2 4 1 1
direct
0.5000 0.0000 0.5000
0.0000 0.0000 0.0000
0.0000 0.2632 0.2315
0.5000 0.7466 0.2286
0.5000 0.2534 0.7714
0.0000 0.7368 0.7685
0.5000 0.5000 0.0000
0.0000 0.5000 0.5000